<a>
# TePb2Se SCAN PBEsol geometry
data_TePb2Se
_cell_length_a 4.442
_cell_length_b 6.273
_cell_length_c 4.448
_cell_angle_alpha 90.00
_cell_angle_beta 90.22
_cell_angle_gamma 90.00
_symmetry_space_group_name_H-M 'P 1 m 1'
_symmetry_Int_Tables_number 6
_symmetry_space_group_name_Hall 'P -2y'
loop_
_atom_site_label
_atom_site_fract_x
_atom_site_fract_y
_atom_site_fract_z
_atom_site_occupancy
Te1 0.000 0.000 0.000 1
Pb1 0.496 0.000 0.505 1
Pb2 0.972 0.500 0.034 1
Se1 0.497 0.500 0.504 1
# V ... 123.9 Å³ per cell

<b>
# TePb2Se SCAN PBEsol geometry
data_TePb2Se
_cell_length_a 4.4245
_cell_length_b 4.4245
_cell_length_c 21.6807
_cell_angle_alpha 90.00
_cell_angle_beta 90.00
_cell_angle_gamma 120.00
_symmetry_space_group_name_H-M 'R -3 m'
_symmetry_Int_Tables_number 166
_symmetry_space_group_name_Hall '-R 3 2"'
loop_
_atom_site_label
_atom_site_fract_x
_atom_site_fract_y
_atom_site_fract_z
_atom_site_occupancy
Te1 0.0000 0.0000 0.0000 1
Pb1 0.0000 0.0000 0.2445 1
Se1 0.0000 0.0000 0.5000 1
# V ... 367.6 Å³ per cell

Most stable structure - <b>; separation to the second - 1.9 kJ/mol of atoms.

<a>
# IrRuRh SCAN PBEsol geometry
data_IrRuRh
_cell_length_a 2.678
_cell_length_b 3.785
_cell_length_c 8.043
_cell_angle_alpha 90.00
_cell_angle_beta 90.00
_cell_angle_gamma 90.00
_symmetry_space_group_name_H-M 'I m m 2'
_symmetry_Int_Tables_number 44
_symmetry_space_group_name_Hall 'I 2 -2'
loop_
_atom_site_label
_atom_site_fract_x
_atom_site_fract_y
_atom_site_fract_z
_atom_site_occupancy
Ir1 0.000 0.000 0.000 1
Ru1 0.000 0.000 0.338 1
Rh1 0.000 0.000 0.670 1
# V ... 81.5 Å³ per cell
# N(E_F) ... 0.81 states/eV per atom

<b>
# IrRuRh SCAN PBEsol geometry
data_IrRuRh
_cell_length_a 2.680
_cell_length_b 2.680
_cell_length_c 11.369
_cell_angle_alpha 90.00
_cell_angle_beta 90.00
_cell_angle_gamma 90.00
_symmetry_space_group_name_H-M 'I 4 m m'
_symmetry_Int_Tables_number 107
_symmetry_space_group_name_Hall 'I 4 -2'
loop_
_atom_site_label
_atom_site_fract_x
_atom_site_fract_y
_atom_site_fract_z
_atom_site_occupancy
Ir1 0.000 0.000 0.000 1
Ru1 0.000 0.000 0.338 1
Rh1 0.000 0.000 0.673 1
# V ... 81.6 Å³ per cell
# N(E_F) ... 0.84 states/eV per atom

Most stable structure - <a>; separation to the second - 0.7 kJ/mol of atoms.